Below is BaMgAlCd2 after structural relaxation, with properties calculated at the GGA-PBE level.

Lattice parameters (Å, degrees): 4.725 4.725 7.079 109.50 109.50 90.00
Sites, in units of the cell vectors:
1 Mg 0.250 0.750 0.500
2 Cd 0.619 0.619 0.237
3 Al 0.750 0.250 0.500
4 Ba 0.000 0.000 0.000
5 Cd 0.381 0.381 0.763

Values from the calculation:
ΔE_f in eV/atom: -0.21
Density in g/cm3: 4.9